1.
VASP calculation (GGA-PBEsol) on crystalline MgCO3 at its relaxed geometry.

The structure belongs to space group R-3c (No. 167, hexagonal axes); the cell edges are 4.6550, 4.6550 and 14.9047 Å and the angles 90.00°, 90.00° and 120.00°. The asymmetric unit holds Mg at (0.0000, 0.0000, 0.0000), C at (0.0000, 0.0000, 0.2500) and O at (0.0000, 0.2776, 0.2500).

As for the total DFT energy (no corrections): -7.48 eV/atom. The value obtained for the formation energy (no corrections) is -2.06 eV/atom. The value obtained for the magnetic moment is 0.00 μB/cell.


2.
VASP calculation (GGA-PBEsol) on crystalline MgCO3 at its relaxed geometry.

The structure belongs to space group Pm-3m (No. 221); the cell edges are 3.350, 3.350 and 3.350 Å and the angles 90.00°, 90.00° and 90.00°. The asymmetric unit holds Mg at (0.000, 0.000, 0.000), C at (0.500, 0.500, 0.500) and O at (0.000, 0.500, 0.500).

As for the total DFT energy (no corrections): -5.68 eV/atom. The value obtained for the formation energy (no corrections) is -0.26 eV/atom. The value obtained for the magnetic moment is 0.00 μB/cell.


3.
VASP calculation (GGA-PBEsol) on crystalline MgOs2C at its relaxed geometry.

The structure belongs to space group Fm-3m (No. 225); the cell edges are 5.778, 5.778 and 5.778 Å and the angles 90.00°, 90.00° and 90.00°. The asymmetric unit holds Mg at (0.000, 0.000, 0.000), Os at (0.250, 0.250, 0.250) and C at (0.000, 0.000, 0.500).

As for the total DFT energy (no corrections): -7.39 eV/atom. The energy relative to the elements is 6.3 eV/f.u. The value obtained for the magnetic moment is 0.00 μB/cell.


4.
VASP calculation (GGA-PBEsol) on crystalline Mg3OsC at its relaxed geometry.

The structure belongs to space group Pm-3m (No. 221); the cell edges are 4.894, 4.894 and 4.894 Å and the angles 90.00°, 90.00° and 90.00°. The asymmetric unit holds Mg at (0.000, 0.000, 0.500), Os at (0.000, 0.000, 0.000) and C at (0.500, 0.500, 0.500).

As for the total DFT energy (no corrections): -3.45 eV/atom. The energy relative to the elements is 9.8 eV/f.u. The value obtained for the magnetic moment is 1.29 μB/cell.